No. 1
Here is an optimized crystal structure of PrAl2TeO8 from Alexandria. Energies are from GGA-PBE.

Computed properties:
* E_form (uncorrected): -2.1308 eV/atom
* total magnetization: 0.085 μB per atom
* calculated volume: 146 Å³/f.u.

Unit cell a=4.5332 b=4.5383 c=7.1282 alpha=87.30 beta=87.42 gamma=87.37
Positions (direct):
Pr 0.0000 0.0000 0.0000
Al 0.4706 0.4703 0.6951
Al 0.5294 0.5297 0.3049
Te 0.0000 0.0000 0.5000
O 0.1947 0.7884 0.7058
O 0.2107 0.8053 0.2946
O 0.3037 0.3034 0.4928
O 0.3558 0.3528 0.9342
O 0.6442 0.6472 0.0659
O 0.6963 0.6966 0.5072
O 0.7893 0.1947 0.7054
O 0.8053 0.2116 0.2942

No. 2
Here is an optimized crystal structure of TiInBi2Rh from Alexandria. Energies are from GGA-PBE.

Computed properties:
* total magnetization: 0.000 μB per atom
* calculated formation energy: 0.769 eV/atom
* calculated volume: 146 Å³/f.u.

Unit cell a=5.2747 b=5.2747 c=5.2315 alpha=90.00 beta=90.00 gamma=90.00
Positions (direct):
Ti 0.0000 0.0000 0.0000
In 0.0000 0.0000 0.5000
Bi 0.0000 0.5000 0.0000
Bi 0.5000 0.0000 0.0000
Rh 0.5000 0.5000 0.5000

No. 3
Here is an optimized crystal structure of LiYN2O from Alexandria. Energies are from GGA-PBE.

Computed properties:
* E_form (uncorrected): -0.1548 eV/atom
* total magnetization: 0.269 μB per atom
* calculated volume: 51 Å³/f.u.

Unit cell a=3.6035 b=3.6035 c=3.9476 alpha=90.00 beta=90.00 gamma=90.00
Positions (direct):
Li 0.0000 0.0000 0.0000
Y 0.5000 0.5000 0.5000
N 0.0000 0.5000 0.0000
N 0.5000 0.0000 0.0000
O 0.0000 0.0000 0.5000

No. 4
Here is an optimized crystal structure of Mn2Si3 from Alexandria. Energies are from GGA-PBE.

Computed properties:
* E_form (uncorrected): -0.2251 eV/atom
* total magnetization: 0.000 μB per atom
* calculated volume: 62 Å³/f.u.

Unit cell a=3.9093 b=3.9093 c=4.7200 alpha=90.00 beta=90.00 gamma=120.00
Positions (direct):
Mn 0.3333 0.6667 0.3607
Mn 0.6667 0.3333 0.6393
Si 0.0000 0.0000 0.5000
Si 0.3333 0.6667 0.8677
Si 0.6667 0.3333 0.1323

No. 5
Here is an optimized crystal structure of Zr2V3W from Alexandria. Energies are from GGA-PBE.

Computed properties:
* total magnetization: 0.000 μB per atom
* calculated formation energy: -0.030 eV/atom
* calculated volume: 103 Å³/f.u.

Unit cell a=5.2000 b=5.2000 c=5.2001 alpha=118.49 beta=118.49 gamma=61.63
Positions (direct):
Zr 0.1254 0.1254 0.3747
Zr 0.8746 0.8746 0.6253
V 0.0000 0.5000 0.0000
V 0.5000 0.0000 0.0000
V 0.5000 0.5000 0.5000
W 0.5000 0.5000 0.0000

No. 6
Here is an optimized crystal structure of Ti4CdSe8 from Alexandria. Energies are from GGA-PBE.

Computed properties:
* E_form (uncorrected): -1.0365 eV/atom
* total magnetization: 0.000 μB per atom
* calculated volume: 318 Å³/f.u.

Unit cell a=8.3560 b=8.3560 c=8.3560 alpha=50.33 beta=50.33 gamma=50.33
Positions (direct):
Ti 0.0000 0.0000 0.0000
Ti 0.0000 0.5000 0.5000
Ti 0.5000 0.0000 0.5000
Ti 0.5000 0.5000 0.0000
Cd 0.5000 0.5000 0.5000
Se 0.2387 0.2387 0.7373
Se 0.2387 0.7373 0.2387
Se 0.2626 0.2626 0.2626
Se 0.2627 0.7613 0.7613
Se 0.7373 0.2387 0.2387
Se 0.7374 0.7374 0.7374
Se 0.7613 0.2627 0.7613
Se 0.7613 0.7613 0.2627

No. 7
Here is an optimized crystal structure of Pm2YEr4 from Alexandria. Energies are from GGA-PBE.

Computed properties:
* total magnetization: 0.000 μB per atom
* calculated formation energy: 0.079 eV/atom
* calculated volume: 225 Å³/f.u.

Unit cell a=6.0265 b=8.4832 c=9.8742 alpha=85.04 beta=72.48 gamma=69.25
Positions (direct):
Pm 0.0000 0.0000 0.0000
Pm 0.0094 0.9304 0.3592
Pm 0.7058 0.8606 0.7185
Pm 0.8157 0.4300 0.8594
Y 0.1103 0.4980 0.4970
Y 0.8226 0.3631 0.2208
Er 0.1825 0.0764 0.6357
Er 0.2239 0.5746 0.1350
Er 0.2555 0.6428 0.7814
Er 0.3931 0.2173 0.9373
Er 0.4308 0.1446 0.2816
Er 0.5622 0.7164 0.4379
Er 0.6123 0.7840 0.0824
Er 0.6365 0.2858 0.5822

No. 8
Here is an optimized crystal structure of La2Sm12Tl5 from Alexandria. Energies are from GGA-PBE.

Computed properties:
* total magnetization: 0.000 μB per atom
* calculated formation energy: 0.012 eV/atom
* calculated volume: 657 Å³/f.u.

Unit cell a=9.4082 b=9.4082 c=10.5706 alpha=93.10 beta=93.10 gamma=44.68
Positions (direct):
La 0.2165 0.7835 0.0000
La 0.7835 0.2165 0.0000
Sm 0.0265 0.0265 0.3249
Sm 0.0651 0.5571 0.8808
Sm 0.0930 0.6162 0.4324
Sm 0.3743 0.3743 0.1736
Sm 0.3838 0.9070 0.5676
Sm 0.4429 0.9349 0.1192
Sm 0.5571 0.0651 0.8808
Sm 0.6162 0.0930 0.4324
Sm 0.6257 0.6257 0.8264
Sm 0.9070 0.3838 0.5676
Sm 0.9349 0.4429 0.1192
Sm 0.9735 0.9735 0.6751
Tl 0.1448 0.1448 0.8435
Tl 0.2148 0.2148 0.3558
Tl 0.5000 0.5000 0.5000
Tl 0.7852 0.7852 0.6442
Tl 0.8552 0.8552 0.1565